Record 1
First-principles (PBE) data for an optimized crystal structure of ThCu2Ni2, as listed in Alexandria via LeMat-Bulk.

Lattice parameters (Å, degrees): 9.445 4.088 4.636 90.00 115.60 90.00
Space group C2/m (No. 12)
Symmetry-distinct sites (fractional):
Th (0.000, 0.000, 0.000)
Cu (0.142, 0.500, 0.562)
Ni (0.235, 0.500, 0.144)

---

Record 2
First-principles (PBE) data for an optimized crystal structure of Tb2Nd2Dy4Ho, as listed in Alexandria via LeMat-Bulk.

Lattice parameters (Å, degrees): 18.712 3.607 9.582 90.00 115.69 90.00
Space group C2/m (No. 12)
Symmetry-distinct sites (fractional):
Tb (0.147, 0.000, 0.163)
Nd (0.165, 0.500, 0.499)
Dy (0.019, 0.500, 0.834)
Dy (0.185, 0.000, 0.835)
Ho (0.000, 0.000, 0.500)

---

| no. | spin magnetization (μB per atom) | energy (eV per atom) | V (Å³ per atom) |
| --- | --- | --- | --- |
| 1 | 0.000 | -5.635 | 16.1 |
| 2 | 0.000 | -4.643 | 32.4 |